15
Lattice="5.879 0.000 0.000 -2.939 5.091 0.000 0.000 0.000 7.208" Properties=species:S:1:pos:R:3 comment="Ba3NpCo2O9 (GGA+U, relaxed)" magnetic_moment_mub_per_cell=7.01 e_tot_ev_per_atom=-7.13 pbc="T T T"
Ba 0.000 0.000 0.000
Ba 0.000 3.394 4.926
Ba 2.940 1.697 2.282
Np 0.000 0.000 3.604
Co 0.000 3.394 0.994
Co 2.940 1.697 6.214
O -1.470 2.546 0.000
O 0.000 1.671 2.409
O -1.492 4.256 2.409
O 1.447 0.835 4.799
O 2.939 0.000 0.000
O 1.470 2.546 0.000
O 1.492 4.256 2.409
O 4.432 0.835 4.799
O 2.940 3.420 4.799